! TbTaCr2O8 (PBE+U, optimized geometry); values from VASP
! Magnetization, μB/f.u.: 4.0
! E, eV for the cell shown: -98.61
! ρ, Mg/m³: 6.658
&SYSTEM
  ibrav = 0, nat = 12, ntyp = 4
/
ATOMIC_SPECIES
Tb 158.93 Tb.upf
Ta 180.95 Ta.upf
Cr 52.00 Cr.upf
O 16.00 O.upf
CELL_PARAMETERS angstrom
-4.7297 0.1954 0.3314
0.2058 -0.1351 4.7371
0.1608 6.3314 0.2953
ATOMIC_POSITIONS crystal
Tb 0.0000 0.0000 0.5000
Ta 0.0000 0.0000 0.0000
Cr 0.5008 0.5008 0.7517
Cr 0.4992 0.4992 0.2483
O 0.2076 0.7929 0.2225
O 0.6922 0.6927 0.0071
O 0.7934 0.2081 0.2224
O 0.7924 0.2071 0.7775
O 0.3078 0.3073 0.9929
O 0.2066 0.7919 0.7776
O 0.6705 0.6710 0.5108
O 0.3295 0.3290 0.4892